No. 1
Computed, not measured: an optimized crystal structure of Sm3YTl4Te8 at the GGA-PBE level of DFT.

The theoretical density comes out at 6.86 g/cm3. The formation energy (no corrections) is -1.069 eV/atom. The calculation puts the magnetization at 0.000 μB/f.u. The crystal system is trigonal.

Cell lengths 9.0158, 9.0158, 24.5427 Å; angles 90.00, 90.00, 120.00 degrees
Closest atoms and distances in Å follow each position.
Space group R-3m (No. 166, hexagonal axes)
Inequivalent atoms, fractional coordinates:
Sm1 0.0000 0.5000 0.0000 [9 per cell]  6 Te 3.16
Y1 0.0000 0.0000 0.0000 [3 per cell]  6 Te 3.12
Tl1 0.0000 0.0000 0.5000 [3 per cell]  6 Te 3.51
Tl2 0.0000 0.5000 0.5000 [9 per cell]  6 Te 3.47-3.48
Te1 0.0000 0.0000 0.2605 [6 per cell]  3 Sm 3.16, 3 Tl 3.47
Te2 0.0040 0.5020 0.7388 [18 per cell]  1 Y 3.12, 2 Sm 3.16, 2 Tl 3.48

No. 2
Computed, not measured: an optimized crystal structure of SmTl2Zn2Te4 at the GGA-PBE level of DFT.

The theoretical density comes out at 7.01 g/cm3. The formation energy (no corrections) is -0.594 eV/atom. The calculation puts the magnetization at 0.000 μB/f.u. The crystal system is monoclinic. The calculation puts the density of states at the Fermi level at 1.68 states/eV/f.u.

Cell lengths 15.9273, 4.3376, 8.5692 Å; angles 90.00, 106.26, 90.00 degrees
Closest atoms and distances in Å follow each position.
Space group C2/m (No. 12)
Inequivalent atoms, fractional coordinates:
Sm1 0.0000 0.0000 0.0000 [2 per cell]  6 Te 3.15-3.23, 4 Zn 3.46
Tl1 0.1315 0.0000 0.5421 [4 per cell]  7 Te 3.58-3.67
Zn1 0.1657 0.5000 0.9798 [4 per cell]  4 Te 2.69-2.76
Te1 0.0135 0.5000 0.7419 [4 per cell]  1 Zn 2.69
Te2 0.2069 0.0000 0.1827 [4 per cell]  3 Zn 2.74-2.76

No. 3
Computed, not measured: an optimized crystal structure of Sm2Tl3ZnTe6 at the GGA-PBE level of DFT.

The theoretical density comes out at 7.09 g/cm3. The formation energy (no corrections) is -0.724 eV/atom. The calculation puts the magnetization at 0.000 μB/f.u. The crystal system is monoclinic. The calculation puts the density of states at the Fermi level at 7.23 states/eV/f.u.

Cell lengths 7.7140, 13.3968, 8.3528 Å; angles 90.00, 108.82, 90.00 degrees
Closest atoms and distances in Å follow each position.
Space group C2/m (No. 12)
Inequivalent atoms, fractional coordinates:
Sm1 0.0000 0.1627 0.0000 [4 per cell]  6 Te 3.12-3.15
Tl1 0.0000 0.0000 0.5000 [2 per cell]  6 Te 3.39-3.45
Tl2 0.0000 0.3217 0.5000 [4 per cell]  6 Te 3.43-3.47
Zn1 0.0000 0.5000 0.0000 [2 per cell]  6 Te 2.90-3.09
Te1 0.2236 0.3439 0.2076 [8 per cell]  1 Zn 2.90, 2 Sm 3.15
Te2 0.2474 0.5000 0.7734 [4 per cell]  1 Zn 3.09, 2 Sm 3.12, 3 Tl 3.43-3.45

No. 4
Computed, not measured: an optimized crystal structure of Sm3Tl3ZnTe8 at the GGA-PBE level of DFT.

The theoretical density comes out at 6.47 g/cm3. The formation energy (no corrections) is -0.768 eV/atom. The calculation puts the magnetization at 0.000 μB/f.u. The crystal system is monoclinic. The calculation puts the density of states at the Fermi level at 13.38 states/eV/f.u.

Cell lengths 15.3596, 8.8615, 9.5996 Å; angles 90.00, 122.32, 90.00 degrees
Closest atoms and distances in Å follow each position.
Space group C2/m (No. 12)
Inequivalent atoms, fractional coordinates:
Sm1 0.0000 0.0000 0.0000 [2 per cell]  6 Te 3.13
Sm2 0.2500 0.2500 0.0000 [4 per cell]  6 Te 3.13-3.14
Tl1 0.0000 0.5000 0.5000 [2 per cell]  6 Te 3.40-3.43
Tl2 0.2500 0.2500 0.5000 [4 per cell]  6 Te 3.41-3.44
Zn1 0.0000 0.5000 0.0000 [2 per cell]  6 Te 2.92-2.95
Te1 0.0090 0.2642 0.7913 [8 per cell]  1 Zn 2.95, 2 Sm 3.13
Te2 0.2246 0.5000 0.2068 [4 per cell]  1 Zn 2.92, 2 Sm 3.14
Te3 0.2411 0.0000 0.2229 [4 per cell]  3 Sm 3.13, 3 Tl 3.40-3.41

No. 5
Computed, not measured: an optimized crystal structure of SmTlZnTe3 at the GGA-PBE level of DFT.

The theoretical density comes out at 6.33 g/cm3. The formation energy (no corrections) is -0.829 eV/atom. The calculation puts the magnetization at 0.000 μB/f.u. The crystal system is monoclinic.

Cell lengths 9.6936, 4.4169, 10.2746 Å; angles 90.00, 106.76, 90.00 degrees
Closest atoms and distances in Å follow each position.
Space group P2_1/m (No. 11)
Inequivalent atoms, fractional coordinates:
Sm1 0.1758 0.2500 0.1423 [2 per cell]  6 Te 3.12-3.26
Tl1 0.2915 0.7500 0.7777 [2 per cell]  5 Te 3.42-3.59
Zn1 0.4157 0.7500 0.3947 [2 per cell]  4 Te 2.67-2.76
Te1 0.0419 0.2500 0.8271 [2 per cell]  3 Sm 3.12-3.13, 2 Tl 3.42
Te2 0.2930 0.2500 0.4733 [2 per cell]  3 Zn 2.74-2.76
Te3 0.4035 0.7500 0.1315 [2 per cell]  1 Zn 2.67

No. 6
Computed, not measured: an optimized crystal structure of Sm3ZrTl4Te8 at the GGA-PBE level of DFT.

The theoretical density comes out at 7.09 g/cm3. The formation energy (no corrections) is -0.942 eV/atom. The calculation puts the magnetization at 0.520 μB/f.u. The crystal system is trigonal. The calculation puts the density of states at the Fermi level at 4.90 states/eV/f.u.

Cell lengths 8.8403, 8.8403, 24.7113 Å; angles 90.00, 90.00, 120.00 degrees
Closest atoms and distances in Å follow each position.
Space group R-3m (No. 166, hexagonal axes)
Inequivalent atoms, fractional coordinates:
Sm1 0.0000 0.5000 0.0000 [9 per cell]  6 Te 3.14-3.16
Zr1 0.0000 0.0000 0.0000 [3 per cell]  6 Te 3.00
Tl1 0.0000 0.0000 0.5000 [3 per cell]  6 Te 3.57
Tl2 0.0000 0.5000 0.5000 [9 per cell]  6 Te 3.43
Te1 0.0000 0.0000 0.2594 [6 per cell]  3 Sm 3.14, 3 Tl 3.43
Te2 0.0166 0.5083 0.7381 [18 per cell]  1 Zr 3.00, 2 Sm 3.16

No. 7
Computed, not measured: an optimized crystal structure of Sm3Tm2Te8 at the GGA-PBE level of DFT.

The theoretical density comes out at 6.23 g/cm3. The formation energy (no corrections) is -1.228 eV/atom. The calculation puts the magnetization at 0.000 μB/f.u. The crystal system is monoclinic. The calculation puts the density of states at the Fermi level at 6.67 states/eV/f.u.

Cell lengths 15.3812, 8.7575, 7.5581 Å; angles 90.00, 108.69, 90.00 degrees
Closest atoms and distances in Å follow each position.
Space group C2/m (No. 12)
Inequivalent atoms, fractional coordinates:
Sm1 0.0000 0.0000 0.0000 [2 per cell]  6 Te 3.11-3.14
Sm2 0.0000 0.2582 0.5000 [4 per cell]  6 Te 3.08-3.15
Tm1 0.2497 0.0000 0.8323 [4 per cell]  6 Te 3.01-3.13
Te1 0.1177 0.5000 0.3858 [4 per cell]  1 Tm 3.01, 2 Sm 3.08
Te2 0.1251 0.0000 0.4206 [4 per cell]  1 Tm 3.09, 3 Sm 3.14-3.15
Te3 0.1258 0.2489 0.9153 [8 per cell]  2 Tm 3.09-3.13, 2 Sm 3.11-3.12

No. 8
Computed, not measured: an optimized crystal structure of SmTmTe at the GGA-PBE level of DFT.

The theoretical density comes out at 7.72 g/cm3. The formation energy (no corrections) is -0.542 eV/atom. The calculation puts the magnetization at 0.000 μB/f.u. The crystal system is orthorhombic. The calculation puts the density of states at the Fermi level at 3.74 states/eV/f.u. The energy relative to the lowest polymorph listed for this composition comes out at 0.679 eV/f.u.

Cell lengths 4.1169, 4.7334, 4.9348 Å; angles 90.00, 90.00, 90.00 degrees
Closest atoms and distances in Å follow each position.
Space group Pmmm (No. 47)
Inequivalent atoms, fractional coordinates:
Sm1 0.0000 0.0000 0.0000 [1 per cell]  4 Te 3.21, 4 Tm 3.42
Tm1 0.0000 0.5000 0.5000 [1 per cell]  4 Te 3.14, 4 Sm 3.42
Te1 0.5000 0.0000 0.5000 [1 per cell]  4 Tm 3.14, 4 Sm 3.21